# 1
Compound: SrZrRu2
Source: Alexandria via LeMat-Bulk
Functional: PBE
Structure: relaxed

Calculated values
* formation energy from the elements: 227 kJ/mol of formula units
* Fermi-level density of states: 0.93 states/eV per atom
* size of the total moment: 0.0 Bohr magnetons per cell

Unit cell a=4.9975 b=4.9975 c=17.6434 alpha=90.00 beta=90.00 gamma=90.00
Closest atoms and distances in Å follow each position.
Space group I-42d (No. 122)
Inequivalent atoms, fractional coordinates:
Sr: 0.0000 0.0000 0.0000 x4  8 Ru 3.50-3.62, 4 Zr 3.53
Zr: 0.0000 0.0000 0.5000 x4  4 Ru 2.54
Ru: 0.0160 0.2500 0.6250 x8  2 Ru 2.50, 2 Zr 2.54

***

# 2
Compound: LiAcBPt6
Source: Alexandria via LeMat-Bulk
Functional: PBE
Structure: relaxed

Calculated values
* formation energy from the elements: -353 kJ/mol of formula units
* Fermi-level density of states: 0.48 states/eV per atom
* size of the total moment: 0.0 Bohr magnetons per cell

Unit cell a=6.7783 b=8.6089 c=11.1720 alpha=90.00 beta=90.00 gamma=90.00
Closest atoms and distances in Å follow each position.
Space group Imma (No. 74)
Inequivalent atoms, fractional coordinates:
Li: 0.2500 0.2500 0.2500 x4  6 Pt 2.37-2.43
Ac: 0.0000 0.2500 0.6588 x4  6 Pt 2.92-3.18
B: 0.0000 0.0000 0.0000 x4  6 Pt 2.09-2.24
Pt: 0.0000 0.2500 0.3978 x4  2 Li 2.37
Pt: 0.0000 0.2500 0.9431 x4  2 B 2.24
Pt: 0.2292 0.0195 0.1247 x16  1 B 2.09

***

# 3
Compound: LaScMn2
Source: Alexandria via LeMat-Bulk
Functional: PBE
Structure: relaxed

Calculated values
* formation energy from the elements: 171 kJ/mol of formula units
* Fermi-level density of states: 2.35 states/eV per atom
* size of the total moment: 2.8 Bohr magnetons per cell

Unit cell a=6.8493 b=6.8493 c=6.8493 alpha=90.00 beta=90.00 gamma=90.00
Closest atoms and distances in Å follow each position.
Space group F-43m (No. 216)
Inequivalent atoms, fractional coordinates:
La: 0.0000 0.0000 0.0000 x4  4 Sc 2.97, 4 Mn 2.97
Sc: 0.2500 0.2500 0.7500 x4  4 Mn 2.97, 4 La 2.97
Mn: 0.0000 0.0000 0.5000 x4  4 Mn 2.97, 4 Sc 2.97
Mn: 0.2500 0.2500 0.2500 x4  4 Mn 2.97, 4 La 2.97

***

no.,E (eV/atom)
1,-6.608
2,-5.845
3,-6.957